SbAs2Os: single point on PBEsol structure, meta-GGA SCAN.

a = 3.038 Å, b = 5.122 Å, c = 9.639 Å
α = 90.00°, β = 90.00°, γ = 90.00°
Fractional coordinates of all 8 atoms:
Sb (0.000, 0.000, 0.000)
Sb (0.500, 0.500, 0.000)
As (0.000, 0.000, 0.443)
As (0.000, 0.500, 0.714)
As (0.500, 0.000, 0.714)
As (0.500, 0.500, 0.443)
Os (0.000, 0.500, 0.242)
Os (0.500, 0.000, 0.242)

Computed properties:
Raw formation energy: 0.622 eV per atom
Space-group type: Cmm2 (35)
Calculated volume: 150.0 Å³/cell
Spin magnetization: 0.0 μB per formula unit